Compound: MnZn
Source: Alexandria
Functional: GGA-PBE
Structure: relaxed

It has space group Pm-3n (No. 223), with a = 7.037 Å, b = 7.037 Å, c = 7.037 Å, α = 90.00°, β = 90.00° and γ = 90.00°. The asymmetric unit holds Mn at (0.000, 0.250, 0.500) and Zn at (0.000, 0.500, 0.250).

The value obtained for the energy is -3.966 eV/atom. The density of states at the Fermi level comes out at 16.9 states/eV per cell. As for the formation energy: 1.26 eV per atom.